Entry from the Alexandria database: an optimized crystal structure of SrV2Fe4 (PBE-GGA).

Geometry as POSCAR:
```
SrV2Fe4
1.0
4.660 0.000 0.000
0.000 4.660 0.000
2.330 2.330 6.244
V Fe Sr
2 4 1
direct
0.608 0.608 0.784
0.392 0.392 0.216
0.000 0.500 0.000
0.500 0.000 0.000
0.775 0.775 0.450
0.225 0.225 0.550
0.000 0.000 0.000
```

Computed properties:
Calculated formation energy in meV/atom: 1731.9
SG: I4/mmm (139)
DOS at the Fermi energy in states/eV/cell: 8.40
Total magnetic moment in Bohr magnetons per cell: 4.7